No. 1
Here is a crystal of NdCuGe2 relaxed with PBEsol from Alexandria via LeMat-Bulk. Energies are from meta-GGA SCAN.

Calculated values
N(E_F) = 0.221 states/eV/atom
Energy of formation = -0.68 eV per atom
Electronic total energy = -199.4 eV for the cell shown

```
data_NdCuGe2
_chemical_formula_sum 'Nd2 Cu2 Ge4'
_symmetry_space_group_name_H-M 'P 1'
_symmetry_Int_Tables_number 1
_cell_length_a 4.1662
_cell_length_b 4.1894
_cell_length_c 8.8199
_cell_angle_alpha 76.26
_cell_angle_beta 90.00
_cell_angle_gamma 90.00
loop_
_symmetry_equiv_pos_as_xyz
'x,y,z'
loop_
_atom_site_label
_atom_site_fract_x
_atom_site_fract_y
_atom_site_fract_z
Ge1 0.2500 0.5386 0.9227
Ge2 0.7500 0.4614 0.0773
Ge3 0.2500 0.2494 0.5012
Cu1 0.7500 0.3249 0.3502
Cu2 0.2500 0.6751 0.6498
Nd1 0.7500 0.1040 0.7920
Ge4 0.7500 0.7506 0.4988
Nd2 0.2500 0.8960 0.2080
```

No. 2
Here is a crystal of LaRh2CS relaxed with PBEsol from Alexandria via LeMat-Bulk. Energies are from meta-GGA SCAN.

Calculated values
N(E_F) = 0.819 states/eV/atom
Formation energy from raw total energies = 2140 meV/atom
Electronic total energy = -119.7 eV for the cell shown

```
data_LaRh2CS
_chemical_formula_sum 'La1 Rh2 C1 S1'
_symmetry_space_group_name_H-M 'P 1'
_symmetry_Int_Tables_number 1
_cell_length_a 4.7825
_cell_length_b 4.7825
_cell_length_c 5.4765
_cell_angle_alpha 90.00
_cell_angle_beta 90.00
_cell_angle_gamma 90.00
loop_
_symmetry_equiv_pos_as_xyz
'x,y,z'
loop_
_atom_site_label
_atom_site_fract_x
_atom_site_fract_y
_atom_site_fract_z
S1 0.0000 0.0000 0.5000
La1 0.0000 0.0000 0.0000
Rh1 0.0000 0.5000 0.0000
Rh2 0.5000 0.0000 0.0000
C1 0.5000 0.5000 0.5000
```

No. 3
Here is a crystal of Nb3IrW relaxed with PBEsol from Alexandria via LeMat-Bulk. Energies are from meta-GGA SCAN.

Calculated values
N(E_F) = 1.493 states/eV/atom
Energy of formation = 1.37 eV per atom
Distance to the lowest polymorph of the same formula = 0.00 kcal/mol of atoms
Electronic total energy = -233.3 eV for the cell shown

```
data_Nb3IrW
_chemical_formula_sum 'Nb3 Ir1 W1'
_symmetry_space_group_name_H-M 'P 1'
_symmetry_Int_Tables_number 1
_cell_length_a 4.7371
_cell_length_b 4.7371
_cell_length_c 4.7371
_cell_angle_alpha 90.00
_cell_angle_beta 90.00
_cell_angle_gamma 90.00
loop_
_symmetry_equiv_pos_as_xyz
'x,y,z'
loop_
_atom_site_label
_atom_site_fract_x
_atom_site_fract_y
_atom_site_fract_z
Nb1 0.0000 0.5000 0.0000
Nb2 0.5000 0.0000 0.0000
Ir1 0.0000 0.0000 0.0000
Nb3 0.0000 0.0000 0.5000
W1 0.5000 0.5000 0.5000
```

No. 4
Here is a crystal of SeBr2 relaxed with PBEsol from Alexandria via LeMat-Bulk. Energies are from meta-GGA SCAN.

Calculated values
Formation energy from raw total energies = -10 meV/atom
Distance to the lowest polymorph of the same formula = 0.00 kcal/mol of atoms
Electronic total energy = -118.1 eV for the cell shown

```
data_SeBr2
_chemical_formula_sum 'Se2 Br4'
_symmetry_space_group_name_H-M 'P 1'
_symmetry_Int_Tables_number 1
_cell_length_a 3.6056
_cell_length_b 7.3172
_cell_length_c 7.9419
_cell_angle_alpha 90.00
_cell_angle_beta 90.00
_cell_angle_gamma 90.00
loop_
_symmetry_equiv_pos_as_xyz
'x,y,z'
loop_
_atom_site_label
_atom_site_fract_x
_atom_site_fract_y
_atom_site_fract_z
Br1 0.0000 0.6741 0.3279
Br2 0.5000 0.1741 0.1721
Se1 0.5000 0.5000 0.5000
Se2 0.0000 0.0000 0.0000
Br3 0.5000 0.8259 0.8279
Br4 0.0000 0.3259 0.6721
```

No. 5
Here is a crystal of Zr2NiRh relaxed with PBEsol from Alexandria via LeMat-Bulk. Energies are from meta-GGA SCAN.

Calculated values
N(E_F) = 0.734 states/eV/atom
Energy of formation = -0.73 eV per atom
Electronic total energy = -114.3 eV for the cell shown

```
data_Zr2NiRh
_chemical_formula_sum 'Zr2 Ni1 Rh1'
_symmetry_space_group_name_H-M 'P 1'
_symmetry_Int_Tables_number 1
_cell_length_a 3.2938
_cell_length_b 4.1612
_cell_length_c 5.2257
_cell_angle_alpha 90.00
_cell_angle_beta 108.37
_cell_angle_gamma 90.00
loop_
_symmetry_equiv_pos_as_xyz
'x,y,z'
loop_
_atom_site_label
_atom_site_fract_x
_atom_site_fract_y
_atom_site_fract_z
Zr1 0.2675 0.5000 0.5349
Rh1 0.5391 0.5000 0.0782
Ni1 0.7151 0.0000 0.4302
Zr2 0.9849 0.0000 0.9698
```

No. 6
Here is a crystal of HgAuCl2 relaxed with PBEsol from Alexandria via LeMat-Bulk. Energies are from meta-GGA SCAN.

Calculated values
N(E_F) = 0.462 states/eV/atom
Formation energy from raw total energies = 177 meV/atom
Distance to the lowest polymorph of the same formula = 6.68 kcal/mol of atoms
Electronic total energy = -152.6 eV for the cell shown

```
data_HgAuCl2
_chemical_formula_sum 'Hg1 Au1 Cl2'
_symmetry_space_group_name_H-M 'P 1'
_symmetry_Int_Tables_number 1
_cell_length_a 4.8303
_cell_length_b 4.8488
_cell_length_c 4.8303
_cell_angle_alpha 60.13
_cell_angle_beta 90.00
_cell_angle_gamma 119.87
loop_
_symmetry_equiv_pos_as_xyz
'x,y,z'
loop_
_atom_site_label
_atom_site_fract_x
_atom_site_fract_y
_atom_site_fract_z
Au1 0.0000 0.0000 0.0000
Cl1 0.7500 0.5000 0.7500
Cl2 0.2500 0.5000 0.2500
Hg1 0.5000 0.0000 0.5000
```